! InTeSe2, relaxed, DFT PBE-GGA; values from VASP
&SYSTEM
  ibrav = 0, nat = 4, ntyp = 3
/
ATOMIC_SPECIES
Se 78.96 Se.upf
In 114.82 In.upf
Te 127.60 Te.upf
CELL_PARAMETERS angstrom
-5.848 -5.224 2.880
-1.124 -8.001 2.124
4.193 7.224 0.101
ATOMIC_POSITIONS angstrom
Se -2.612 -2.386 2.772
In 0.048 -3.209 2.180
Se -0.257 -0.487 0.184
Te -3.443 -6.530 2.471
! - Crystal system: orthorhombic
! - E_form (uncorrected): -0.09 eV per atom
! - Relative energy among the computed polymorphs: 123.5 meV/atom
! - VASP energy: -13.23 eV/f.u.